(1)
# ScIn2Rh3 | Alexandria via LeMat-Bulk | GGA-PBE | relaxed
# Total magnetization in μB/f.u.: 0.00
# Calculated density in g cm⁻³: 9.605
# Final energy in eV/cell: -38.03
# DFT formation energy in eV per atom: -0.695
# Space group: Cmmm
# Polymorph energy (0 for the lowest one) in meV per atom: 4
data_ScIn2Rh3
_chemical_formula_sum 'Sc1 In2 Rh3'
_symmetry_space_group_name_H-M 'P 1'
_symmetry_Int_Tables_number 1
_cell_length_a 3.369
_cell_length_b 4.444
_cell_length_c 7.092
_cell_angle_alpha 108.26
_cell_angle_beta 90.00
_cell_angle_gamma 90.00
loop_
_symmetry_equiv_pos_as_xyz
'x,y,z'
loop_
_atom_site_label
_atom_site_type_symbol
_atom_site_fract_x
_atom_site_fract_y
_atom_site_fract_z
Rh1 Rh 0.500 0.500 0.000
Rh2 Rh 0.500 0.834 0.669
Rh3 Rh 0.500 0.166 0.331
In1 In 0.000 0.335 0.670
In2 In 0.000 0.665 0.330
Sc1 Sc 0.000 0.000 0.000

=====

(2)
# Sc2InSi2Rh5 | Alexandria via LeMat-Bulk | GGA-PBE | relaxed
# Total magnetization in μB/f.u.: 0.00
# Calculated density in g cm⁻³: 8.093
# Final energy in eV/cell: -144.75
# Space group: P4/mbm
# Formation energy (no corrections) in eV per atom: -0.94
data_Sc2InSi2Rh5
_chemical_formula_sum 'Sc4 In2 Si4 Rh10'
_symmetry_space_group_name_H-M 'P 1'
_symmetry_Int_Tables_number 1
_cell_length_a 3.483
_cell_length_b 9.559
_cell_length_c 9.559
_cell_angle_alpha 90.00
_cell_angle_beta 90.00
_cell_angle_gamma 90.00
loop_
_symmetry_equiv_pos_as_xyz
'x,y,z'
loop_
_atom_site_label
_atom_site_type_symbol
_atom_site_fract_x
_atom_site_fract_y
_atom_site_fract_z
Rh1 Rh 0.500 0.072 0.786
Rh2 Rh 0.500 0.428 0.286
Rh3 Rh 0.500 0.572 0.714
Rh4 Rh 0.500 0.286 0.572
Rh5 Rh 0.500 0.500 0.000
Rh6 Rh 0.500 0.786 0.928
Rh7 Rh 0.500 0.714 0.428
Rh8 Rh 0.500 0.214 0.072
Rh9 Rh 0.500 0.928 0.214
Rh10 Rh 0.500 0.000 0.500
Si1 Si 0.000 0.124 0.624
Si2 Si 0.000 0.876 0.376
Si3 Si 0.000 0.624 0.876
Si4 Si 0.000 0.376 0.124
In1 In 0.000 0.000 0.000
In2 In 0.000 0.500 0.500
Sc1 Sc 0.000 0.174 0.326
Sc2 Sc 0.000 0.826 0.674
Sc3 Sc 0.000 0.326 0.826
Sc4 Sc 0.000 0.674 0.174

=====

(3)
# Sm2ScIn2Rh5 | Alexandria via LeMat-Bulk | GGA-PBE | relaxed
# Total magnetization in μB/f.u.: 0.00
# Calculated density in g cm⁻³: 9.220
# Final energy in eV/cell: -126.57
# DFT formation energy in eV per atom: -0.528
# Space group: P4/mbm
data_Sm2ScIn2Rh5
_chemical_formula_sum 'Sm4 Sc2 In4 Rh10'
_symmetry_space_group_name_H-M 'P 1'
_symmetry_Int_Tables_number 1
_cell_length_a 3.621
_cell_length_b 10.412
_cell_length_c 10.412
_cell_angle_alpha 90.00
_cell_angle_beta 90.00
_cell_angle_gamma 90.00
loop_
_symmetry_equiv_pos_as_xyz
'x,y,z'
loop_
_atom_site_label
_atom_site_type_symbol
_atom_site_fract_x
_atom_site_fract_y
_atom_site_fract_z
Sm1 Sm 0.000 0.668 0.168
Sm2 Sm 0.000 0.332 0.832
Sm3 Sm 0.000 0.168 0.332
Sm4 Sm 0.000 0.832 0.668
Rh1 Rh 0.500 0.804 0.945
Rh2 Rh 0.500 0.555 0.696
Rh3 Rh 0.500 0.945 0.196
Rh4 Rh 0.500 0.196 0.055
Rh5 Rh 0.500 0.000 0.500
Rh6 Rh 0.500 0.445 0.304
Rh7 Rh 0.500 0.696 0.445
Rh8 Rh 0.500 0.500 0.000
Rh9 Rh 0.500 0.055 0.804
Rh10 Rh 0.500 0.304 0.555
In1 In 0.000 0.131 0.631
In2 In 0.000 0.631 0.869
In3 In 0.000 0.369 0.131
In4 In 0.000 0.869 0.369
Sc1 Sc 0.000 0.500 0.500
Sc2 Sc 0.000 0.000 0.000

=====

(4)
# SrScIn2Rh | Alexandria via LeMat-Bulk | GGA-PBE | relaxed
# Total magnetization in μB/f.u.: 0.00
# Calculated density in g cm⁻³: 4.724
# Final energy in eV/cell: -15.89
# DFT formation energy in eV per atom: 0.991
# Space group: P4/mmm
data_SrScIn2Rh
_chemical_formula_sum 'Sr1 Sc1 In2 Rh1'
_symmetry_space_group_name_H-M 'P 1'
_symmetry_Int_Tables_number 1
_cell_length_a 5.789
_cell_length_b 4.879
_cell_length_c 5.789
_cell_angle_alpha 90.00
_cell_angle_beta 90.00
_cell_angle_gamma 90.00
loop_
_symmetry_equiv_pos_as_xyz
'x,y,z'
loop_
_atom_site_label
_atom_site_type_symbol
_atom_site_fract_x
_atom_site_fract_y
_atom_site_fract_z
Sr1 Sr 0.000 0.000 0.000
Sc1 Sc 0.500 0.500 0.500
Rh1 Rh 0.000 0.500 0.000
In1 In 0.000 0.000 0.500
In2 In 0.500 0.000 0.000

=====

(5)
# Tb2ScIn2Rh5 | Alexandria via LeMat-Bulk | GGA-PBE | relaxed
# Total magnetization in μB/f.u.: 0.00
# Calculated density in g cm⁻³: 9.527
# Final energy in eV/cell: -126.70
# DFT formation energy in eV per atom: -0.552
# Space group: P4/mbm
data_Tb2ScIn2Rh5
_chemical_formula_sum 'Tb4 Sc2 In4 Rh10'
_symmetry_space_group_name_H-M 'P 1'
_symmetry_Int_Tables_number 1
_cell_length_a 3.599
_cell_length_b 10.354
_cell_length_c 10.354
_cell_angle_alpha 90.00
_cell_angle_beta 90.00
_cell_angle_gamma 90.00
loop_
_symmetry_equiv_pos_as_xyz
'x,y,z'
loop_
_atom_site_label
_atom_site_type_symbol
_atom_site_fract_x
_atom_site_fract_y
_atom_site_fract_z
Rh1 Rh 0.500 0.000 0.500
Rh2 Rh 0.500 0.803 0.948
Rh3 Rh 0.500 0.948 0.197
Rh4 Rh 0.500 0.500 0.000
Rh5 Rh 0.500 0.303 0.552
Rh6 Rh 0.500 0.052 0.803
Rh7 Rh 0.500 0.448 0.303
Rh8 Rh 0.500 0.552 0.697
Rh9 Rh 0.500 0.697 0.448
Rh10 Rh 0.500 0.197 0.052
In1 In 0.000 0.367 0.133
In2 In 0.000 0.867 0.367
In3 In 0.000 0.633 0.867
In4 In 0.000 0.133 0.633
Tb1 Tb 0.000 0.334 0.834
Tb2 Tb 0.000 0.166 0.334
Tb3 Tb 0.000 0.666 0.166
Tb4 Tb 0.000 0.834 0.666
Sc1 Sc 0.000 0.000 0.000
Sc2 Sc 0.000 0.500 0.500

=====

(6)
# TbScInRh | Alexandria via LeMat-Bulk | GGA-PBE | relaxed
# Total magnetization in μB/f.u.: 0.00
# Calculated density in g cm⁻³: 8.064
# Final energy in eV/cell: -23.27
# DFT formation energy in eV per atom: -0.555
# Space group: F-43m
data_TbScInRh
_chemical_formula_sum 'Tb1 Sc1 In1 Rh1'
_symmetry_space_group_name_H-M 'P 1'
_symmetry_Int_Tables_number 1
_cell_length_a 4.970
_cell_length_b 4.970
_cell_length_c 4.970
_cell_angle_alpha 60.00
_cell_angle_beta 60.00
_cell_angle_gamma 60.00
loop_
_symmetry_equiv_pos_as_xyz
'x,y,z'
loop_
_atom_site_label
_atom_site_type_symbol
_atom_site_fract_x
_atom_site_fract_y
_atom_site_fract_z
In1 In 0.500 0.500 0.500
Rh1 Rh 0.000 0.000 0.000
Sc1 Sc 0.750 0.750 0.750
Tb1 Tb 0.250 0.250 0.250

=====

(7)
# TmScInRh | Alexandria via LeMat-Bulk | GGA-PBE | relaxed
# Total magnetization in μB/f.u.: 0.00
# Calculated density in g cm⁻³: 8.502
# Final energy in eV/cell: -23.26
# DFT formation energy in eV per atom: -0.592
# Space group: F-43m
# Polymorph energy (0 for the lowest one) in meV per atom: 129
data_TmScInRh
_chemical_formula_sum 'Tm1 Sc1 In1 Rh1'
_symmetry_space_group_name_H-M 'P 1'
_symmetry_Int_Tables_number 1
_cell_length_a 4.922
_cell_length_b 4.922
_cell_length_c 4.922
_cell_angle_alpha 60.00
_cell_angle_beta 60.00
_cell_angle_gamma 60.00
loop_
_symmetry_equiv_pos_as_xyz
'x,y,z'
loop_
_atom_site_label
_atom_site_type_symbol
_atom_site_fract_x
_atom_site_fract_y
_atom_site_fract_z
Sc1 Sc 0.000 0.000 0.000
Rh1 Rh 0.750 0.750 0.750
Tm1 Tm 0.500 0.500 0.500
In1 In 0.250 0.250 0.250

=====

(8)
# TmScInRh | Alexandria via LeMat-Bulk | GGA-PBE | relaxed
# Total magnetization in μB/f.u.: 0.00
# Calculated density in g cm⁻³: 8.481
# Final energy in eV/cell: -23.78
# DFT formation energy in eV per atom: -0.721
# Space group: P4mm
# Polymorph energy (0 for the lowest one) in meV per atom: 0
data_TmScInRh
_chemical_formula_sum 'Tm1 Sc1 In1 Rh1'
_symmetry_space_group_name_H-M 'P 1'
_symmetry_Int_Tables_number 1
_cell_length_a 3.407
_cell_length_b 3.407
_cell_length_c 7.281
_cell_angle_alpha 90.00
_cell_angle_beta 90.00
_cell_angle_gamma 90.00
loop_
_symmetry_equiv_pos_as_xyz
'x,y,z'
loop_
_atom_site_label
_atom_site_type_symbol
_atom_site_fract_x
_atom_site_fract_y
_atom_site_fract_z
Rh1 Rh 0.000 0.000 0.553
In1 In 0.000 0.000 0.089
Sc1 Sc 0.500 0.500 0.355
Tm1 Tm 0.500 0.500 0.788

=====

(9)
# ScV2InRh | Alexandria via LeMat-Bulk | GGA-PBE | relaxed
# Total magnetization in μB/f.u.: 4.71
# Calculated density in g cm⁻³: 5.480
# Final energy in eV/cell: -31.93
# DFT formation energy in eV per atom: 0.546
# Space group: P4/mmm
data_ScV2InRh
_chemical_formula_sum 'Sc1 V2 In1 Rh1'
_symmetry_space_group_name_H-M 'P 1'
_symmetry_Int_Tables_number 1
_cell_length_a 4.695
_cell_length_b 5.012
_cell_length_c 4.695
_cell_angle_alpha 90.00
_cell_angle_beta 90.00
_cell_angle_gamma 90.00
loop_
_symmetry_equiv_pos_as_xyz
'x,y,z'
loop_
_atom_site_label
_atom_site_type_symbol
_atom_site_fract_x
_atom_site_fract_y
_atom_site_fract_z
V1 V 0.500 0.000 0.000
V2 V 0.000 0.000 0.500
In1 In 0.000 0.500 0.000
Sc1 Sc 0.500 0.500 0.500
Rh1 Rh 0.000 0.000 0.000

=====

(10)
# Sc2InRhW | Alexandria via LeMat-Bulk | GGA-PBE | relaxed
# Total magnetization in μB/f.u.: 0.82
# Calculated density in g cm⁻³: 6.442
# Final energy in eV/cell: -33.76
# DFT formation energy in eV per atom: 0.389
# Space group: P4/mmm
data_Sc2InRhW
_chemical_formula_sum 'Sc2 In1 Rh1 W1'
_symmetry_space_group_name_H-M 'P 1'
_symmetry_Int_Tables_number 1
_cell_length_a 5.081
_cell_length_b 4.906
_cell_length_c 5.081
_cell_angle_alpha 90.00
_cell_angle_beta 90.00
_cell_angle_gamma 90.00
loop_
_symmetry_equiv_pos_as_xyz
'x,y,z'
loop_
_atom_site_label
_atom_site_type_symbol
_atom_site_fract_x
_atom_site_fract_y
_atom_site_fract_z
Sc1 Sc 0.500 0.000 0.000
Sc2 Sc 0.000 0.000 0.500
Rh1 Rh 0.000 0.000 0.000
W1 W 0.000 0.500 0.000
In1 In 0.500 0.500 0.500

=====

(11)
# Sc5ZnIn2Rh2 | Alexandria via LeMat-Bulk | GGA-PBE | relaxed
# Total magnetization in μB/f.u.: 0.00
# Calculated density in g cm⁻³: 5.826
# Final energy in eV/cell: -117.59
# DFT formation energy in eV per atom: -0.568
# Space group: P4/mbm
data_Sc5ZnIn2Rh2
_chemical_formula_sum 'Sc10 Zn2 In4 Rh4'
_symmetry_space_group_name_H-M 'P 1'
_symmetry_Int_Tables_number 1
_cell_length_a 3.414
_cell_length_b 11.007
_cell_length_c 11.007
_cell_angle_alpha 90.00
_cell_angle_beta 90.00
_cell_angle_gamma 90.00
loop_
_symmetry_equiv_pos_as_xyz
'x,y,z'
loop_
_atom_site_label
_atom_site_type_symbol
_atom_site_fract_x
_atom_site_fract_y
_atom_site_fract_z
Sc1 Sc 0.500 0.426 0.302
Sc2 Sc 0.500 0.574 0.698
Sc3 Sc 0.500 0.074 0.802
Sc4 Sc 0.500 0.500 0.000
Sc5 Sc 0.500 0.802 0.926
Sc6 Sc 0.500 0.198 0.074
Sc7 Sc 0.500 0.926 0.198
Sc8 Sc 0.500 0.698 0.426
Sc9 Sc 0.500 0.302 0.574
Sc10 Sc 0.500 0.000 0.500
Zn1 Zn 0.000 0.500 0.500
Zn2 Zn 0.000 0.000 0.000
Rh1 Rh 0.000 0.367 0.133
Rh2 Rh 0.000 0.633 0.867
Rh3 Rh 0.000 0.133 0.633
Rh4 Rh 0.000 0.867 0.367
In1 In 0.000 0.828 0.672
In2 In 0.000 0.672 0.172
In3 In 0.000 0.328 0.828
In4 In 0.000 0.172 0.328

=====

(12)
# Sc4Zn2InRh | Alexandria via LeMat-Bulk | GGA-PBE | relaxed
# Total magnetization in μB/f.u.: 0.00
# Calculated density in g cm⁻³: 5.707
# Final energy in eV/cell: -42.31
# DFT formation energy in eV per atom: -0.544
# Space group: R-3m
data_Sc4Zn2InRh
_chemical_formula_sum 'Sc4 Zn2 In1 Rh1'
_symmetry_space_group_name_H-M 'P 1'
_symmetry_Int_Tables_number 1
_cell_length_a 4.780
_cell_length_b 4.780
_cell_length_c 8.244
_cell_angle_alpha 73.15
_cell_angle_beta 73.15
_cell_angle_gamma 60.00
loop_
_symmetry_equiv_pos_as_xyz
'x,y,z'
loop_
_atom_site_label
_atom_site_type_symbol
_atom_site_fract_x
_atom_site_fract_y
_atom_site_fract_z
In1 In 0.000 0.000 0.000
Rh1 Rh 0.500 0.500 0.500
Sc1 Sc 0.131 0.131 0.607
Sc2 Sc 0.616 0.616 0.151
Sc3 Sc 0.869 0.869 0.393
Sc4 Sc 0.384 0.384 0.849
Zn1 Zn 0.254 0.254 0.239
Zn2 Zn 0.746 0.746 0.761

=====

Please write out number 12 again, unchanged.
# Sc4Zn2InRh | Alexandria via LeMat-Bulk | GGA-PBE | relaxed
# Total magnetization in μB/f.u.: 0.00
# Calculated density in g cm⁻³: 5.707
# Final energy in eV/cell: -42.31
# DFT formation energy in eV per atom: -0.544
# Space group: R-3m
data_Sc4Zn2InRh
_chemical_formula_sum 'Sc4 Zn2 In1 Rh1'
_symmetry_space_group_name_H-M 'P 1'
_symmetry_Int_Tables_number 1
_cell_length_a 4.780
_cell_length_b 4.780
_cell_length_c 8.244
_cell_angle_alpha 73.15
_cell_angle_beta 73.15
_cell_angle_gamma 60.00
loop_
_symmetry_equiv_pos_as_xyz
'x,y,z'
loop_
_atom_site_label
_atom_site_type_symbol
_atom_site_fract_x
_atom_site_fract_y
_atom_site_fract_z
In1 In 0.000 0.000 0.000
Rh1 Rh 0.500 0.500 0.500
Sc1 Sc 0.131 0.131 0.607
Sc2 Sc 0.616 0.616 0.151
Sc3 Sc 0.869 0.869 0.393
Sc4 Sc 0.384 0.384 0.849
Zn1 Zn 0.254 0.254 0.239
Zn2 Zn 0.746 0.746 0.761